LiCe5Te8: optimized geometry, PBE.

a b c (Å): 8.2234 8.2234 8.2234
angles (deg): 110.08 110.08 108.26
With the nearest neighbours (Å) after each atom.
Sites, in units of the cell vectors:
1 Li 0.0000 0.0000 0.0000  4 Te 3.10
2 Ce 0.1168 0.4946 0.8717  8 Te 3.17-3.43
3 Ce 0.2500 0.7500 0.5000  8 Te 3.18-3.38
4 Ce 0.5054 0.3771 0.6222  8 Te 3.17-3.43
5 Ce 0.6229 0.2451 0.1283  8 Te 3.17-3.43
6 Ce 0.7549 0.8832 0.3778  8 Te 3.17-3.43
7 Te 0.0295 0.2748 0.3905  1 Li 3.10, 5 Ce 3.17-3.43
8 Te 0.2315 0.1318 0.7441  5 Ce 3.18-3.36, 1 Li 3.50
9 Te 0.3609 0.9705 0.2453  1 Li 3.10, 5 Ce 3.17-3.43
10 Te 0.3877 0.4873 0.2559  5 Ce 3.18-3.36, 1 Li 3.50
11 Te 0.5127 0.7685 0.9004  5 Ce 3.18-3.36, 1 Li 3.50
12 Te 0.7252 0.1157 0.7547  1 Li 3.10, 5 Ce 3.17-3.43
13 Te 0.8682 0.6123 0.0996  5 Ce 3.18-3.36, 1 Li 3.50
14 Te 0.8843 0.6391 0.6095  1 Li 3.10, 5 Ce 3.17-3.43

VASP energy (eV/atom): -5.384
Symmetry: I-4, No. 82

Li3Ce4Te8: optimized geometry, PBE.

a b c (Å): 8.8489 8.8489 8.7505
angles (deg): 119.06 119.06 91.21
With the nearest neighbours (Å) after each atom.
Sites, in units of the cell vectors:
1 Li 0.0000 0.0000 0.0000  6 Te 3.09-3.14
2 Li 0.0000 0.5000 0.0000  6 Te 3.10-3.16
3 Li 0.5000 0.0000 0.0000  6 Te 3.10-3.16
4 Ce 0.0000 0.0000 0.5000  6 Te 3.09-3.18
5 Ce 0.0000 0.5000 0.5000  6 Te 3.10-3.16
6 Ce 0.5000 0.0000 0.5000  6 Te 3.10-3.16
7 Ce 0.5000 0.5000 0.0000  6 Te 3.10-3.19
8 Te 0.2448 0.2448 0.9906  3 Li 3.09-3.16, 2 Ce 3.09-3.10
9 Te 0.2483 0.7517 0.0000  3 Li 3.10-3.14, 3 Ce 3.15-3.18
10 Te 0.2493 0.7507 0.5000  3 Ce 3.10-3.15, 2 Li 3.15
11 Te 0.2541 0.2541 0.4938  1 Li 3.11, 4 Ce 3.16-3.19
12 Te 0.7459 0.7459 0.5062  1 Li 3.11, 4 Ce 3.16-3.19
13 Te 0.7507 0.2493 0.5000  3 Ce 3.10-3.15, 2 Li 3.15
14 Te 0.7517 0.2483 0.0000  3 Li 3.10-3.14, 3 Ce 3.15-3.18
15 Te 0.7552 0.7552 0.0094  3 Li 3.09-3.16, 2 Ce 3.09-3.10

VASP energy (eV/atom): -4.826
Symmetry: C2/m, No. 12

LiCeThTe3: optimized geometry, PBE.

a b c (Å): 9.3707 4.2147 9.6359
angles (deg): 90.00 106.24 90.00
With the nearest neighbours (Å) after each atom.
Sites, in units of the cell vectors:
1 Li 0.0840 0.2500 0.0916  4 Te 2.71-2.76, 2 Li 2.91
2 Li 0.9160 0.7500 0.9084  4 Te 2.71-2.76, 2 Li 2.91
3 Ce 0.1835 0.2500 0.7334  7 Te 3.17-3.32
4 Ce 0.8165 0.7500 0.2666  7 Te 3.17-3.32
5 Th 0.3529 0.7500 0.3628  6 Te 3.16-3.29
6 Th 0.6471 0.2500 0.6372  6 Te 3.16-3.29
7 Te 0.0961 0.2500 0.3783  1 Li 2.73
8 Te 0.2223 0.7500 0.0081  3 Li 2.71-2.76
9 Te 0.4275 0.7500 0.7093  3 Th 3.16-3.21, 2 Ce 3.17
10 Te 0.5725 0.2500 0.2907  3 Th 3.16-3.21, 2 Ce 3.17
11 Te 0.7777 0.2500 0.9919  3 Li 2.71-2.76
12 Te 0.9039 0.7500 0.6217  1 Li 2.73

VASP energy (eV/atom): -5.267
Symmetry: P2_1/m, No. 11

LiCe2ThTe4: optimized geometry, PBE.

a b c (Å): 7.6926 4.4187 7.7407
angles (deg): 90.00 109.20 90.00
With the nearest neighbours (Å) after each atom.
Sites, in units of the cell vectors:
1 Li 0.0000 0.0000 0.0000  6 Te 3.03-3.06
2 Ce 0.5000 0.0000 0.5000  6 Te 3.23-3.26
3 Ce 0.5000 0.5000 0.0000  6 Te 3.14-3.15
4 Th 0.0000 0.5000 0.5000  6 Te 3.14-3.15
5 Te 0.2357 0.5000 0.2368  2 Li 3.06, 1 Th 3.14, 3 Ce 3.15-3.23
6 Te 0.2420 0.0000 0.7595  1 Li 3.03, 3 Ce 3.14-3.26, 2 Th 3.15
7 Te 0.7580 0.0000 0.2405  1 Li 3.03, 3 Ce 3.14-3.26, 2 Th 3.15
8 Te 0.7643 0.5000 0.7632  2 Li 3.06, 1 Th 3.14, 3 Ce 3.15-3.23

VASP energy (eV/atom): -5.440
Symmetry: P2/m, No. 10